Entry 1:
A plane-wave DFT calculation with PBE was carried out for a geometry-optimized Cs2Bi2Se structure.

formation energy without anion corrections = -0.253 eV/atom
total energy = -14.219 eV per cell
space-group type = I4/mmm (139)

The structure in POSCAR format:
```
Cs2Bi2Se
1.0
-3.7720 6.6240 1.0828
-3.7211 -1.0302 -6.6611
-6.8832 0.6706 -0.7082
Cs Bi Se
2 2 1
Cartesian
-7.2009 5.0458 -1.2073 Cs
-7.1754 1.2187 -5.0792 Cs
-4.8093 2.0765 -2.0841 Bi
-9.5670 4.1880 -4.2024 Bi
0.0000 0.0000 0.0000 Se
```


Entry 2:
A plane-wave DFT calculation with PBE was carried out for a geometry-optimized Nd8Pd2Rh structure.

energy above the most stable polymorph in this dataset = 0.080 eV/atom
total energy = -59.279 eV per cell
ΔH_f (0 K) = -309.0 meV per atom
space-group type = Cm (8)

The structure in POSCAR format:
```
Nd8Pd2Rh
1.0
6.2839 -0.0149 -1.1073
-2.1104 6.9056 -2.9889
-0.2246 -0.2170 7.8088
Nd Pd Rh
8 2 1
Cartesian
2.9787 2.3820 -1.0049 Nd
3.4687 0.5313 1.8006 Nd
0.2169 2.4034 1.5475 Nd
5.5803 1.1823 4.5746 Nd
4.4437 5.4754 -1.9336 Nd
3.5629 4.3040 2.2168 Nd
0.1684 6.1635 1.9934 Nd
0.6552 4.3246 4.7811 Nd
1.5262 4.7105 -0.1347 Pd
2.2353 2.0323 3.9255 Pd
1.1112 0.0719 -0.1466 Rh
```


| no. | total magnetic moment (μB/f.u.) |
| --- | --- |
| 1 | 0.0 |
| 2 | 0.0 |